Cd4Pt | PBE | optimized geometry

Output
- ρ (g cm⁻³) = 9.87
- ΔH_f (0 K) (eV per formula unit) = -0.7
- DOS(E_F) (states/eV/f.u.) = 1.497

a b c (Å): 5.7524 5.7524 13.1168
angles (deg): 90.00 90.00 90.00
Space group I4_1/a (No. 88, origin choice 2)
Symmetry-distinct sites (fractional):
Cd 0.1336 0.0083 0.2044 [16 per cell]
Pt 0.0000 0.2500 0.6250 [4 per cell]


SrPrAlIn | PBE | optimized geometry

Output
- ρ (g cm⁻³) = 5.13
- ΔH_f (0 K) (eV per formula unit) = -1.1
- DOS(E_F) (states/eV/f.u.) = 3.302

a b c (Å): 7.8277 7.8277 7.8277
angles (deg): 90.00 90.00 90.00
Space group F-43m (No. 216)
Symmetry-distinct sites (fractional):
Sr 0.0000 0.0000 0.0000 [4 per cell]
Pr 0.0000 0.0000 0.5000 [4 per cell]
Al 0.2500 0.2500 0.7500 [4 per cell]
In 0.2500 0.2500 0.2500 [4 per cell]


MgHIr2 | PBE | optimized geometry

Output
- ρ (g cm⁻³) = 11.88
- energy above the lowest structure with this stoichiometry (eV per atom) = 0.033
- DOS(E_F) (states/eV/f.u.) = 2.024

a b c (Å): 4.7733 5.3727 5.4963
angles (deg): 62.83 68.30 88.90
Space group P-1 (No. 2)
Symmetry-distinct sites (fractional):
Mg 0.2288 0.2022 0.0059 [2 per cell]
H 0.1758 0.4729 0.3019 [2 per cell]
Ir 0.2608 0.6431 0.4953 [2 per cell]
Ir 0.2663 0.1245 0.5058 [2 per cell]


Q: Among the records above, which one has the lowest DOS(E_F)?
A: Cd4Pt


Q: Which of these has the highest DOS(E_F)?
A: SrPrAlIn


Q: What is the formula in the third record?
A: MgHIr2


Q: Which value of DOS(E_F) does entry 1 give?
A: 1.497 states/eV/f.u.